Material: InCoN2F
Method: DFT, PBE+U
State: relaxed

## Properties
- DOS at the Fermi energy (states/eV per atom) = 0.41
- crystal system = tetragonal
- ΔE to the lowest computed polymorph (meV/atom) = 600.0

```
data_InCoN2F
_chemical_formula_sum 'In1 Co1 N2 F1'
_symmetry_space_group_name_H-M 'P 4/m m m'
_symmetry_Int_Tables_number 123
_symmetry_space_group_name_Hall '-P 4 2'
_cell_length_a 4.242
_cell_length_b 4.242
_cell_length_c 4.245
_cell_angle_alpha 90.00
_cell_angle_beta 90.00
_cell_angle_gamma 90.00
loop_
_atom_site_label
_atom_site_fract_x
_atom_site_fract_y
_atom_site_fract_z
In1 0.000 0.000 0.000
Co1 0.500 0.500 0.500
N1 0.000 0.500 0.000
F1 0.000 0.000 0.500
```